First-principles (PBE) data for a relaxed structure of Li2LaPm, as listed in Alexandria.

Properties
DOS at the Fermi energy (states/eV per atom): 1.8115
E_form (eV per atom): 0.15
Calculated total energy (eV per formula unit): -12.901

Structure (POSCAR):
```
Li2LaPm
1.0
3.858 0.000 0.000
0.000 3.858 0.000
0.000 0.000 7.588
La Li Pm
1 2 1
direct
0.500 0.500 0.500 La
0.000 0.000 0.755 Li
0.000 0.000 0.245 Li
0.500 0.500 0.000 Pm
```

First-principles (PBE) data for a relaxed structure of DyGa5Ni2Rh, as listed in Alexandria.

Properties
DOS at the Fermi energy (states/eV per atom): 0.4625
E_form (eV per atom): -0.32
Calculated total energy (eV per formula unit): -41.520

Structure (POSCAR):
```
DyGa5Ni2Rh
1.0
4.624 0.000 0.000
0.000 4.624 0.000
0.000 0.000 7.003
Dy Ga Ni Rh
1 5 2 1
direct
0.000 0.000 0.500 Dy
0.000 0.500 0.195 Ga
0.500 0.000 0.195 Ga
0.000 0.500 0.805 Ga
0.500 0.000 0.805 Ga
0.500 0.500 0.500 Ga
0.500 0.500 0.173 Ni
0.500 0.500 0.827 Ni
0.000 0.000 0.000 Rh
```

First-principles (PBE) data for a relaxed structure of Al2PSe, as listed in Alexandria.

Properties
DOS at the Fermi energy (states/eV per atom): 0.4484
Calculated total energy (eV per formula unit): -17.273

Structure (POSCAR):
```
Al2PSe
1.0
-2.175 5.667 4.924
-1.280 2.769 7.196
1.448 5.012 5.821
P Al Se
1 2 1
direct
0.537 0.537 0.537 P
0.004 0.004 0.004 Al
0.235 0.235 0.235 Al
0.724 0.724 0.724 Se
```

First-principles (PBE) data for a relaxed structure of Pr2Sm5Sn5, as listed in Alexandria.

Properties
DOS at the Fermi energy (states/eV per atom): 0.6817
E_form (eV per atom): -0.53
Calculated total energy (eV per formula unit): -59.552

Structure (POSCAR):
```
Pr2Sm5Sn5
1.0
4.463 0.000 0.000
-2.231 7.352 -0.076
0.000 -3.638 12.545
Pr Sm Sn
2 5 5
direct
0.049 0.097 0.781 Pr
0.951 0.903 0.219 Pr
0.500 0.000 0.500 Sm
0.658 0.315 0.042 Sm
0.731 0.462 0.349 Sm
0.269 0.538 0.651 Sm
0.342 0.685 0.958 Sm
0.119 0.237 0.431 Sn
0.708 0.416 0.803 Sn
0.292 0.584 0.197 Sn
0.881 0.763 0.569 Sn
0.000 0.000 0.000 Sn
```

First-principles (PBE) data for a relaxed structure of CaMoSe2, as listed in Alexandria.

Properties
DOS at the Fermi energy (states/eV per atom): 0.6196
Calculated total energy (eV per formula unit): -22.348

Structure (POSCAR):
```
CaMoSe2
1.0
-2.529 -3.126 2.790
2.847 -0.312 2.230
-0.275 3.628 3.815
Mo Ca Se
1 1 2
direct
0.500 0.856 0.914 Mo
0.000 0.599 0.427 Ca
0.000 0.881 0.862 Se
0.500 0.164 0.298 Se
```

First-principles (PBE) data for a relaxed structure of La4AlGa, as listed in Alexandria.

Properties
DOS at the Fermi energy (states/eV per atom): 1.4442
E_form (eV per atom): -0.18
Calculated total energy (eV per formula unit): -27.569

Structure (POSCAR):
```
La4AlGa
1.0
5.225 0.000 -0.001
0.000 5.226 -0.001
0.005 0.008 7.454
La Al Ga
4 1 1
direct
0.501 0.997 0.253 La
0.501 0.998 0.743 La
0.001 0.497 0.743 La
0.001 0.498 0.253 La
0.501 0.497 0.998 Al
0.001 0.997 0.498 Ga
```

First-principles (PBE) data for a relaxed structure of Ce2Zn2Hg, as listed in Alexandria.

Properties
DOS at the Fermi energy (states/eV per atom): 2.1728
E_form (eV per atom): -0.27
Calculated total energy (eV per formula unit): -16.056

Structure (POSCAR):
```
Ce2Zn2Hg
1.0
3.323 0.000 0.000
0.000 4.686 -0.085
0.000 -2.205 7.370
Ce Zn Hg
2 2 1
direct
0.500 0.382 0.763 Ce
0.500 0.618 0.237 Ce
0.000 0.797 0.594 Zn
0.000 0.203 0.406 Zn
0.000 0.000 0.000 Hg
```

First-principles (PBE) data for a relaxed structure of MgNi2Cl, as listed in Alexandria.

Properties
DOS at the Fermi energy (states/eV per atom): 0.3879
Calculated total energy (eV per formula unit): -14.703

Structure (POSCAR):
```
MgNi2Cl
1.0
-0.175 -5.866 0.660
2.796 -3.242 4.068
-3.719 4.379 -1.365
Cl Mg Ni
1 1 2
direct
0.571 0.571 0.000 Cl
0.282 0.782 0.500 Mg
0.909 0.909 0.000 Ni
0.739 0.239 0.500 Ni
```

First-principles (PBE) data for a relaxed structure of KMg3Os, as listed in Alexandria.

Properties
DOS at the Fermi energy (states/eV per atom): 0.7715
E_form (eV per atom): 2.17
Calculated total energy (eV per formula unit): -6.265

Structure (POSCAR):
```
KMg3Os
1.0
5.051 0.000 0.000
0.000 5.051 0.000
0.000 0.000 5.051
K Os Mg
1 1 3
direct
0.000 0.000 0.000 K
0.500 0.500 0.500 Os
0.000 0.500 0.000 Mg
0.000 0.000 0.500 Mg
0.500 0.000 0.000 Mg
```

First-principles (PBE) data for a relaxed structure of BaPmCd, as listed in Alexandria.

Properties
DOS at the Fermi energy (states/eV per atom): 1.0811
E_form (eV per atom): -0.13
Calculated total energy (eV per formula unit): -7.965

Structure (POSCAR):
```
BaPmCd
1.0
-1.943 -1.985 -2.911
-1.801 -2.298 2.769
-3.394 6.732 0.457
Cd Ba Pm
1 1 1
direct
0.687 0.687 0.373 Cd
0.017 0.017 0.033 Ba
0.297 0.297 0.593 Pm
```

First-principles (PBE) data for a relaxed structure of Tl2Sn5Cl12, as listed in Alexandria.

Properties
DOS at the Fermi energy (states/eV per atom): 0.0000
Calculated total energy (eV per formula unit): -65.136

Structure (POSCAR):
```
Tl2Sn5Cl12
1.0
7.774 0.000 0.000
-3.887 7.707 -1.599
0.000 -0.548 10.669
Tl Sn Cl
2 5 12
direct
0.780 0.000 0.000 Tl
0.220 0.000 0.000 Tl
0.306 0.613 0.676 Sn
0.339 0.678 0.267 Sn
0.000 0.000 0.500 Sn
0.661 0.322 0.733 Sn
0.694 0.387 0.324 Sn
0.968 0.937 0.234 Cl
0.050 0.594 0.844 Cl
0.545 0.594 0.844 Cl
0.134 0.729 0.462 Cl
0.596 0.729 0.462 Cl
0.482 0.964 0.771 Cl
0.518 0.036 0.229 Cl
0.866 0.271 0.538 Cl
0.404 0.271 0.538 Cl
0.950 0.406 0.156 Cl
0.455 0.406 0.156 Cl
0.032 0.063 0.766 Cl
```